A plane-wave DFT calculation with GGA-PBE was carried out for crystalline BaNiSe2 at its relaxed geometry.

Structure (POSCAR):
```
BaNiSe2
1.0
-0.929 -1.243 4.967
-3.712 2.498 2.657
-4.394 -2.475 1.285
Ni Ba Se
1 1 2
Cartesian
0.000 0.000 0.000
-4.518 -0.610 4.455
-2.259 -0.305 2.227
-6.777 -0.915 6.682
```

Summary:
- Symmetry: Fm-3m (225)
- Magnetization: 0.495 μB per atom
- DOS at the Fermi energy: 6.7 states/eV/cell
- Raw formation energy: -1.53 eV/f.u.

A plane-wave DFT calculation with GGA-PBE was carried out for crystalline ZnInSe at its relaxed geometry.

Structure (POSCAR):
```
ZnInSe
1.0
6.683 -0.082 0.059
5.142 3.382 -0.023
1.541 -1.198 3.252
In Se Zn
1 1 1
Cartesian
1.545 -1.196 3.250
4.779 0.219 2.239
8.582 1.882 1.050
```

Summary:
- Symmetry: Fmm2 (42)
- Magnetization: 0.000 μB per atom
- DOS at the Fermi energy: 0.6 states/eV/cell
- Raw formation energy: -0.26 eV/f.u.
- Offset from the most stable computed form: 190 meV/atom

A plane-wave DFT calculation with GGA-PBE was carried out for crystalline KMn2Nb at its relaxed geometry.

Structure (POSCAR):
```
KMn2Nb
1.0
3.814 -2.974 0.509
2.903 0.410 3.880
-0.039 -3.437 3.440
Nb Mn K
1 2 1
Cartesian
3.339 -3.001 3.915
1.670 -1.500 1.957
5.009 -4.501 5.872
0.000 0.000 0.000
```

Summary:
- Symmetry: Fm-3m (225)
- Magnetization: 1.316 μB per atom
- DOS at the Fermi energy: 5.2 states/eV/cell
- Offset from the most stable computed form: 0 meV/atom

A plane-wave DFT calculation with GGA-PBE was carried out for crystalline Tm4NiGe3 at its relaxed geometry.

Structure (POSCAR):
```
Tm4NiGe3
1.0
-0.550 3.820 -1.395
-3.239 -1.182 -1.959
-5.927 2.234 8.451
Tm Ni Ge
4 1 3
Cartesian
-3.974 2.103 1.289
-6.758 1.346 6.347
-0.799 0.301 1.140
-4.077 3.343 4.723
-2.353 1.492 -1.023
-5.094 0.719 3.975
-2.478 0.934 3.533
-5.751 3.974 7.110
```

Summary:
- Symmetry: Pmm2 (25)
- Magnetization: 0.000 μB per atom
- DOS at the Fermi energy: 5.7 states/eV/cell
- Raw total energy: -5.4404 eV/atom

A plane-wave DFT calculation with GGA-PBE was carried out for crystalline PrCd2SnGe at its relaxed geometry.

Structure (POSCAR):
```
PrCd2SnGe
1.0
4.402 0.000 0.000
-2.201 8.225 0.000
0.000 0.000 7.461
Pr Cd Sn Ge
2 4 2 2
Cartesian
0.000 6.585 5.596
2.201 1.639 1.865
0.000 2.871 7.039
2.201 5.354 0.423
0.000 2.871 4.153
2.201 5.354 3.308
0.000 0.000 0.000
0.000 0.000 3.731
2.201 3.845 5.596
0.000 4.380 1.865
```

Summary:
- Symmetry: Cmcm (63)
- Magnetization: 0.000 μB per atom
- DOS at the Fermi energy: 3.2 states/eV/cell
- Raw total energy: -3.2461 eV/atom

A plane-wave DFT calculation with GGA-PBE was carried out for crystalline CaErTh2Bi4 at its relaxed geometry.

Structure (POSCAR):
```
CaErTh2Bi4
1.0
4.573 0.000 0.000
0.000 7.934 0.147
0.000 -2.764 7.348
Ca Er Th Bi
1 1 2 4
Cartesian
2.287 3.967 0.073
0.000 0.000 0.000
2.287 -1.382 3.674
0.000 2.585 3.747
2.287 1.273 1.812
2.287 3.896 5.682
0.000 -0.113 5.578
0.000 5.283 1.917
```

Summary:
- Symmetry: P2/m (10)
- Magnetization: 0.000 μB per atom
- DOS at the Fermi energy: 1.9 states/eV/cell
- Raw total energy: -5.3367 eV/atom

A plane-wave DFT calculation with GGA-PBE was carried out for crystalline Li5Tl2Cd6 at its relaxed geometry.

Structure (POSCAR):
```
Li5Tl2Cd6
1.0
3.265 0.000 0.000
0.000 9.776 0.000
0.000 0.000 17.166
Li Tl Cd
10 4 12
Cartesian
1.632 3.000 7.651
1.632 6.777 9.515
1.632 7.888 0.932
1.632 1.889 16.234
1.632 5.764 4.641
1.632 4.012 12.524
1.632 0.876 3.942
1.632 8.900 13.224
1.632 4.888 0.000
1.632 0.000 8.583
0.000 3.338 4.910
0.000 6.438 12.255
0.000 8.226 3.672
0.000 1.550 13.493
0.000 0.744 6.417
0.000 9.032 10.749
0.000 5.633 2.166
0.000 4.144 15.000
1.632 3.049 2.079
1.632 6.727 15.086
1.632 7.938 6.503
1.632 1.839 10.662
0.000 5.504 7.235
0.000 4.273 9.930
0.000 0.615 1.347
0.000 9.161 15.818
```

Summary:
- Symmetry: Pbam (55)
- Magnetization: 0.000 μB per atom
- DOS at the Fermi energy: 9.2 states/eV/cell
- Raw total energy: -1.6771 eV/atom

A plane-wave DFT calculation with GGA-PBE was carried out for crystalline Tb2AlSn4 at its relaxed geometry.

Structure (POSCAR):
```
Tb2AlSn4
1.0
-2.491 3.527 0.883
-2.205 -0.614 -3.767
-6.271 -5.577 4.580
Tb Al Sn
2 1 4
Cartesian
-6.007 -2.471 3.920
-2.612 -1.649 -0.781
-2.348 1.456 -1.442
-2.335 0.794 1.237
-6.284 -4.915 1.901
-5.484 -1.332 0.849
-3.136 -2.789 2.290
```

Summary:
- Symmetry: P-4m2 (115)
- Magnetization: 0.000 μB per atom
- DOS at the Fermi energy: 4.9 states/eV/cell
- Raw total energy: -4.5474 eV/atom

A plane-wave DFT calculation with GGA-PBE was carried out for crystalline PaTiFeMo at its relaxed geometry.

Structure (POSCAR):
```
PaTiFeMo
1.0
-3.634 2.201 1.709
-4.029 -2.150 0.335
-1.646 -1.150 4.116
Mo Pa Fe Ti
1 1 1 1
Cartesian
-6.983 -0.825 4.620
-4.655 -0.550 3.080
-2.328 -0.275 1.540
0.000 0.000 0.000
```

Summary:
- Symmetry: F-43m (216)
- Magnetization: 0.146 μB per atom
- DOS at the Fermi energy: 4.4 states/eV/cell
- Raw total energy: -9.2339 eV/atom

A plane-wave DFT calculation with GGA-PBE was carried out for crystalline SrAs2Br at its relaxed geometry.

Structure (POSCAR):
```
SrAs2Br
1.0
3.591 -0.182 3.919
-0.576 -3.486 3.976
3.299 -4.153 0.394
Sr As Br
1 2 1
Cartesian
3.157 -3.910 4.145
1.578 -1.955 2.072
4.735 -5.866 6.217
0.000 0.000 0.000
```

Summary:
- Symmetry: Fm-3m (225)
- Magnetization: 0.000 μB per atom
- DOS at the Fermi energy: 6.7 states/eV/cell
- Raw formation energy: 0.23 eV/f.u.
- Offset from the most stable computed form: 964 meV/atom

A plane-wave DFT calculation with GGA-PBE was carried out for crystalline PmZrInAu at its relaxed geometry.

Structure (POSCAR):
```
PmZrInAu
1.0
-0.530 -4.965 1.278
4.140 -3.061 0.217
1.722 -1.686 4.556
In Au Zr Pm
1 1 1 1
Cartesian
0.000 0.000 0.000
2.666 -4.856 3.026
3.999 -7.284 4.538
1.333 -2.428 1.513
```

Summary:
- Symmetry: F-43m (216)
- Magnetization: 0.265 μB per atom
- DOS at the Fermi energy: 2.6 states/eV/cell
- Raw total energy: -5.1956 eV/atom

A plane-wave DFT calculation with GGA-PBE was carried out for crystalline CuHg2As at its relaxed geometry.

Structure (POSCAR):
```
CuHg2As
1.0
4.310 0.000 0.000
0.000 4.310 0.000
0.000 0.000 4.259
As Cu Hg
1 1 2
Cartesian
2.155 0.000 2.130
0.000 2.155 2.130
0.000 0.000 0.000
2.155 2.155 0.000
```

Summary:
- Symmetry: P4/mmm (123)
- Magnetization: 0.000 μB per atom
- DOS at the Fermi energy: 0.8 states/eV/cell
- Raw total energy: -1.9875 eV/atom